(1)
A plane-wave DFT calculation with PBE-GGA was carried out for crystalline PaHgRuRh at its relaxed geometry.

Results
Its density of states at the Fermi level is 0.400 states/eV/atom. The calculation puts the total moment at 0.000 μB per formula unit. Its total energy is -27.79 eV/cell. Its symmetry is F-43m. The formation energy is -1.364 eV/f.u.

a b c (Å): 4.7286 4.7286 4.7286
angles (deg): 60.00 60.00 60.00
Fractional positions:
Ru1 0.7500 0.7500 0.7500
Pa1 0.5000 0.5000 0.5000
Rh1 0.2500 0.2500 0.2500
Hg1 0.0000 0.0000 0.0000

***

(2)
A plane-wave DFT calculation with PBE-GGA was carried out for crystalline Pa2HgRu at its relaxed geometry.

Results
As for the energy above the most stable polymorph in this dataset: 444 meV per atom. Its density of states at the Fermi level is 2.557 states/eV/atom. The calculation puts the total moment at 0.001 μB per formula unit. Its total energy is -27.69 eV/cell. Its symmetry is R-3m. The formation energy is 0.880 eV/f.u.

a b c (Å): 3.5523 3.5523 10.3397
angles (deg): 80.11 80.11 60.00
Fractional positions:
Ru1 0.5000 0.5000 0.5000
Pa1 0.1077 0.1077 0.6768
Pa2 0.8923 0.8923 0.3232
Hg1 0.0000 0.0000 0.0000

***

(3)
A plane-wave DFT calculation with PBE-GGA was carried out for crystalline Pa2HgRu at its relaxed geometry.

Results
As for the energy above the most stable polymorph in this dataset: 0 meV per atom. Its density of states at the Fermi level is 1.467 states/eV/atom. The calculation puts the total moment at 0.000 μB per formula unit. Its total energy is -29.46 eV/cell. Its symmetry is P4/mmm. The formation energy is -0.895 eV/f.u.

a b c (Å): 3.1562 3.1562 8.8096
angles (deg): 90.00 90.00 90.00
Fractional positions:
Ru1 0.5000 0.5000 0.0000
Pa1 0.0000 0.0000 0.7833
Pa2 0.0000 0.0000 0.2167
Hg1 0.5000 0.5000 0.5000

***

(4)
A plane-wave DFT calculation with PBE-GGA was carried out for crystalline PaHgRu2 at its relaxed geometry.

Results
As for the energy above the most stable polymorph in this dataset: 0 meV per atom. Its density of states at the Fermi level is 0.776 states/eV/atom. The calculation puts the total moment at 0.000 μB per formula unit. Its total energy is -29.50 eV/cell. Its symmetry is P4/mmm. The formation energy is -1.147 eV/f.u.

a b c (Å): 3.7174 4.4127 4.4127
angles (deg): 90.00 90.00 90.00
Fractional positions:
Ru1 0.0000 0.0000 0.5000
Ru2 0.0000 0.5000 0.0000
Pa1 0.5000 0.0000 0.0000
Hg1 0.5000 0.5000 0.5000